# 1
# GGA-PBE La2Nd6Ga, relaxed
# Raw total energy   -4.63 eV/atom
# SG   P2_1/c, No. 14
# Size of the total moment   0.00 μB per atom
data_La2Nd6Ga
_cell_length_a 6.673
_cell_length_b 8.227
_cell_length_c 12.982
_cell_angle_alpha 90.00
_cell_angle_beta 119.81
_cell_angle_gamma 90.00
_space_group_name_H-M_alt 'P 1'
_space_group_IT_number 1
loop_
_space_group_symop_operation_xyz
'x,y,z'
loop_
_atom_site_label
_atom_site_fract_x
_atom_site_fract_y
_atom_site_fract_z
La1 0.004 0.093 0.257
La2 0.004 0.407 0.757
La3 0.996 0.593 0.243
La4 0.996 0.907 0.743
Nd1 0.118 0.699 0.005
Nd2 0.118 0.801 0.505
Nd3 0.370 0.155 0.002
Nd4 0.370 0.345 0.502
Nd5 0.474 0.096 0.737
Nd6 0.474 0.404 0.237
Nd7 0.526 0.596 0.763
Nd8 0.526 0.904 0.263
Nd9 0.630 0.655 0.498
Nd10 0.630 0.845 0.998
Nd11 0.882 0.199 0.495
Nd12 0.882 0.301 0.995
Ga1 0.500 0.000 0.500
Ga2 0.500 0.500 0.000



# 2
# GGA-PBE TlPb4S5, relaxed
# Raw total energy   -4.24 eV/atom
# Offset from the most stable computed form   2 meV per atom
# SG   C2/m, No. 12
# Raw formation energy   -454 meV per atom
# Size of the total moment   0.00 μB per atom
data_TlPb4S5
_cell_length_a 7.338
_cell_length_b 7.338
_cell_length_c 10.374
_cell_angle_alpha 118.22
_cell_angle_beta 118.22
_cell_angle_gamma 33.41
_space_group_name_H-M_alt 'P 1'
_space_group_IT_number 1
loop_
_space_group_symop_operation_xyz
'x,y,z'
loop_
_atom_site_label
_atom_site_fract_x
_atom_site_fract_y
_atom_site_fract_z
Tl1 0.000 0.000 0.000
Pb1 0.200 0.200 0.802
Pb2 0.399 0.399 0.599
Pb3 0.601 0.601 0.401
Pb4 0.800 0.800 0.198
S1 0.000 0.000 0.500
S2 0.202 0.202 0.307
S3 0.395 0.395 0.103
S4 0.605 0.605 0.897
S5 0.798 0.798 0.693



# 3
# GGA-PBE NaTlPb4, relaxed
# Raw total energy   -3.06 eV/atom
# Offset from the most stable computed form   98 meV per atom
# SG   F-43m, No. 216
# Size of the total moment   0.00 μB per atom
data_NaTlPb4
_cell_length_a 6.594
_cell_length_b 6.594
_cell_length_c 6.594
_cell_angle_alpha 60.00
_cell_angle_beta 60.00
_cell_angle_gamma 60.00
_space_group_name_H-M_alt 'P 1'
_space_group_IT_number 1
loop_
_space_group_symop_operation_xyz
'x,y,z'
loop_
_atom_site_label
_atom_site_fract_x
_atom_site_fract_y
_atom_site_fract_z
Na1 0.000 0.000 0.000
Tl1 0.250 0.250 0.250
Pb1 0.125 0.625 0.625
Pb2 0.625 0.125 0.625
Pb3 0.625 0.625 0.125
Pb4 0.625 0.625 0.625



# 4
# GGA-PBE MnFe2Pd6, relaxed
# Raw total energy   -6.47 eV/atom
# Offset from the most stable computed form   0 meV per atom
# SG   C2/m, No. 12
# Size of the total moment   1.36 μB per atom
data_MnFe2Pd6
_cell_length_a 4.703
_cell_length_b 4.703
_cell_length_c 8.155
_cell_angle_alpha 103.65
_cell_angle_beta 103.65
_cell_angle_gamma 49.71
_space_group_name_H-M_alt 'P 1'
_space_group_IT_number 1
loop_
_space_group_symop_operation_xyz
'x,y,z'
loop_
_atom_site_label
_atom_site_fract_x
_atom_site_fract_y
_atom_site_fract_z
Mn1 0.000 0.000 0.000
Fe1 0.316 0.316 0.763
Fe2 0.684 0.684 0.237
Pd1 0.006 0.006 0.320
Pd2 0.334 0.334 0.441
Pd3 0.340 0.340 0.102
Pd4 0.660 0.660 0.898
Pd5 0.666 0.666 0.559
Pd6 0.994 0.994 0.680